A plane-wave DFT calculation with GGA-PBE was carried out for AlSe2I after structural relaxation.

```
AlSe2I
1.0
3.5822 0.0000 0.0000
-1.7911 3.1023 0.0000
0.0000 0.0000 35.8721
Al Se I
3 6 3
direct
0.0000 0.0000 0.0000 Al
0.3333 0.6667 0.6667 Al
0.6667 0.3333 0.3333 Al
0.0000 0.0000 0.0618 Se
0.0000 0.0000 0.9382 Se
0.3333 0.6667 0.6049 Se
0.3333 0.6667 0.7284 Se
0.6667 0.3333 0.2716 Se
0.6667 0.3333 0.3951 Se
0.0000 0.0000 0.5000 I
0.3333 0.6667 0.1667 I
0.6667 0.3333 0.8333 I
```

## Properties
energy relative to the elements, uncorrected	1.3	eV/f.u.
calculated total energy	-2.739	eV per atom


A plane-wave DFT calculation with GGA-PBE was carried out for K2TiRhPb after structural relaxation.

```
K2TiRhPb
1.0
5.9252 0.0000 0.0000
0.0000 5.9252 0.0000
0.0000 0.0000 5.4041
K Ti Rh Pb
2 1 1 1
direct
0.0000 0.5000 0.0000 K
0.5000 0.0000 0.0000 K
0.0000 0.0000 0.0000 Ti
0.5000 0.5000 0.5000 Rh
0.0000 0.0000 0.5000 Pb
```

## Properties
calculated total energy	-2.856	eV per atom
formation enthalpy at 0 K	132.6	kJ/mol of atoms


A plane-wave DFT calculation with GGA-PBE was carried out for Ce2YEr3P6 after structural relaxation.

```
Ce2YEr3P6
1.0
3.4767 -6.0215 0.0000
3.4767 6.0215 0.0000
-2.3178 0.0000 6.5438
Ce Y Er P
2 1 3 6
direct
0.1666 0.8334 0.0000 Ce
0.8334 0.1666 0.0000 Ce
0.5000 0.5000 0.0000 Y
0.0000 0.0000 0.5000 Er
0.3332 0.6668 0.5000 Er
0.6668 0.3332 0.5000 Er
0.0823 0.4155 0.7462 P
0.2521 0.2521 0.2552 P
0.4155 0.0823 0.7462 P
0.5845 0.9177 0.2538 P
0.7479 0.7479 0.7448 P
0.9177 0.5845 0.2538 P
```

## Properties
calculated total energy	-6.953	eV per atom
formation enthalpy at 0 K	-152.4	kJ/mol of atoms


A plane-wave DFT calculation with GGA-PBE was carried out for LiTlAs2 after structural relaxation.

```
LiTlAs2
1.0
3.1670 0.0000 0.0000
-1.5835 2.7427 0.0000
0.0000 0.0000 29.5255
Li Tl As
3 3 6
direct
0.0000 0.0000 0.0000 Li
0.3333 0.6667 0.6667 Li
0.6667 0.3333 0.3333 Li
0.0000 0.0000 0.5000 Tl
0.3333 0.6667 0.1667 Tl
0.6667 0.3333 0.8333 Tl
0.0000 0.0000 0.2628 As
0.0000 0.0000 0.7372 As
0.3333 0.6667 0.4038 As
0.3333 0.6667 0.9295 As
0.6667 0.3333 0.0705 As
0.6667 0.3333 0.5962 As
```

## Properties
calculated total energy	-3.330	eV per atom
formation enthalpy at 0 K	6.3	kJ/mol of atoms


A plane-wave DFT calculation with GGA-PBE was carried out for LaPm6DyEr2 after structural relaxation.

```
LaPm6DyEr2
1.0
4.6349 -7.6250 0.0000
4.6349 7.6250 0.0000
-1.3392 0.0000 9.6375
La Pm Dy Er
2 12 2 4
direct
0.0943 0.9057 0.7500 La
0.9057 0.0943 0.2500 La
0.0099 0.7948 0.3794 Pm
0.0664 0.5202 0.1812 Pm
0.2052 0.9901 0.1206 Pm
0.2599 0.6109 0.5553 Pm
0.3891 0.7401 0.9447 Pm
0.4798 0.9336 0.3188 Pm
0.5202 0.0664 0.6812 Pm
0.6109 0.2599 0.0553 Pm
0.7401 0.3891 0.4447 Pm
0.7948 0.0099 0.8794 Pm
0.9336 0.4798 0.8188 Pm
0.9901 0.2052 0.6206 Pm
0.4694 0.5306 0.2500 Dy
0.5306 0.4694 0.7500 Dy
0.2077 0.3051 0.9536 Er
0.3051 0.2077 0.4536 Er
0.6949 0.7923 0.5464 Er
0.7923 0.6949 0.0464 Er
```

## Properties
calculated total energy	-4.599	eV per atom
formation enthalpy at 0 K	11.3	kJ/mol of atoms


A plane-wave DFT calculation with GGA-PBE was carried out for SbIrRh2 after structural relaxation.

```
SbIrRh2
1.0
4.0506 0.0000 0.0000
0.0000 4.0506 0.0000
0.0000 0.0000 7.6451
Sb Ir Rh
2 2 4
direct
0.0000 0.0000 0.0000 Sb
0.5000 0.5000 0.5000 Sb
0.0000 0.5000 0.7500 Ir
0.5000 0.0000 0.2500 Ir
0.0000 0.0000 0.5000 Rh
0.0000 0.5000 0.2500 Rh
0.5000 0.0000 0.7500 Rh
0.5000 0.5000 0.0000 Rh
```

## Properties
energy relative to the elements, uncorrected	-0.3	eV/f.u.
calculated total energy	-6.984	eV per atom


A plane-wave DFT calculation with GGA-PBE was carried out for Li7Mg4Al after structural relaxation.

```
Li7Mg4Al
1.0
7.5491 -2.4366 0.0000
7.5491 2.4366 0.0000
-3.3368 0.0000 6.4934
Li Mg Al
7 4 1
direct
0.0000 0.0000 0.0000 Li
0.2835 0.2835 0.3796 Li
0.3114 0.3114 0.7768 Li
0.4429 0.4429 0.2876 Li
0.5571 0.5571 0.7124 Li
0.6886 0.6886 0.2232 Li
0.7165 0.7165 0.6204 Li
0.0874 0.0874 0.4276 Mg
0.1644 0.1644 0.9203 Mg
0.8356 0.8356 0.0797 Mg
0.9126 0.9126 0.5724 Mg
0.5000 0.5000 0.0000 Al
```

## Properties
calculated total energy	-1.923	eV per atom
formation enthalpy at 0 K	3.5	kJ/mol of atoms


A plane-wave DFT calculation with GGA-PBE was carried out for Ac7TlIr2 after structural relaxation.

```
Ac7TlIr2
1.0
4.9877 -7.4312 0.0000
4.9877 7.4312 0.0000
0.0000 0.0000 5.6612
Ac Tl Ir
7 1 2
direct
0.0000 0.0000 0.0000 Ac
0.1862 0.4488 0.0000 Ac
0.2041 0.7959 0.5000 Ac
0.4488 0.1862 0.0000 Ac
0.5512 0.8138 0.0000 Ac
0.7959 0.2041 0.5000 Ac
0.8138 0.5512 0.0000 Ac
0.5000 0.5000 0.5000 Tl
0.2012 0.7988 0.0000 Ir
0.7988 0.2012 0.0000 Ir
```

## Properties
calculated total energy	-5.144	eV per atom
formation enthalpy at 0 K	-25.0	kJ/mol of atoms


A plane-wave DFT calculation with GGA-PBE was carried out for Ta2CoSbH after structural relaxation.

```
Ta2CoSbH
1.0
4.0000 0.0000 0.0000
0.0000 4.0000 0.0000
0.0000 0.0000 4.3310
Ta Co Sb H
2 1 1 1
direct
0.0000 0.5000 0.0000 Ta
0.5000 0.0000 0.0000 Ta
0.0000 0.0000 0.5000 Co
0.5000 0.5000 0.5000 Sb
0.0000 0.0000 0.0000 H
```

## Properties
calculated total energy	-7.603	eV per atom


A plane-wave DFT calculation with GGA-PBE was carried out for Na2H2SeBr2 after structural relaxation.

```
Na2H2SeBr2
1.0
12.1510 0.0000 0.0000
0.0000 3.8020 0.0000
-4.7647 0.0000 6.4462
Na H Se Br
4 4 2 4
direct
0.0177 0.0000 0.2986 Na
0.4823 0.5000 0.7014 Na
0.5177 0.5000 0.2986 Na
0.9823 0.0000 0.7014 Na
0.1624 0.5000 0.1586 H
0.3376 0.0000 0.8414 H
0.6624 0.0000 0.1586 H
0.8376 0.5000 0.8414 H
0.0000 0.5000 0.0000 Se
0.5000 0.0000 0.0000 Se
0.1868 0.5000 0.6787 Br
0.3132 0.0000 0.3213 Br
0.6868 0.0000 0.6787 Br
0.8132 0.5000 0.3213 Br
```

## Properties
calculated total energy	-2.810	eV per atom


A plane-wave DFT calculation with GGA-PBE was carried out for NdThSn2 after structural relaxation.

```
NdThSn2
1.0
4.4995 0.0000 0.0000
0.0000 4.5612 0.0000
0.0000 0.0000 11.7782
Nd Th Sn
2 2 4
direct
0.0000 0.0000 0.0000 Nd
0.0000 0.5000 0.5000 Nd
0.5000 0.0000 0.2719 Th
0.5000 0.5000 0.7719 Th
0.0000 0.0000 0.7285 Sn
0.0000 0.5000 0.2285 Sn
0.5000 0.0000 0.5450 Sn
0.5000 0.5000 0.0450 Sn
```

## Properties
calculated total energy	-5.710	eV per atom
formation enthalpy at 0 K	-63.9	kJ/mol of atoms


A plane-wave DFT calculation with GGA-PBE was carried out for YFe2Rh2 after structural relaxation.

```
YFe2Rh2
1.0
7.3797 0.0000 0.0000
0.0000 7.3797 0.0000
0.0000 0.0000 2.9304
Y Fe Rh
2 4 4
direct
0.0000 0.0000 0.0000 Y
0.5000 0.5000 0.0000 Y
0.1142 0.3858 0.0000 Fe
0.3858 0.8858 0.0000 Fe
0.6142 0.1142 0.0000 Fe
0.8858 0.6142 0.0000 Fe
0.1778 0.6778 0.5000 Rh
0.3222 0.1778 0.5000 Rh
0.6778 0.8222 0.5000 Rh
0.8222 0.3222 0.5000 Rh
```

## Properties
calculated total energy	-7.733	eV per atom
formation enthalpy at 0 K	-11.0	kJ/mol of atoms